No. 1
A plane-wave DFT calculation with PBE was carried out for a relaxed structure of TbPmSO2.

Unit cell a=6.6654 b=6.6654 c=6.6654 alpha=146.51 beta=146.51 gamma=48.08
Last column: nearest neighbours and their distance in Å.
Sites, in units of the cell vectors:
Tb 0.0000 0.0000 0.0000  4 O 2.23
Pm 0.3038 0.3038 0.0000  4 O 2.29
S 0.6548 0.6548 0.0000  4 Pm 3.27, 4 Tb 3.31, 8 O 3.57-3.62
O 0.4071 0.9071 0.5000  2 Tb 2.23, 2 Pm 2.29
O 0.9071 0.4071 0.5000  2 Tb 2.23, 2 Pm 2.29

## Properties
ΔE_f (raw) = -3.022 eV per atom
space group = No. 107
crystal system = tetragonal

No. 2
A plane-wave DFT calculation with PBE was carried out for a relaxed structure of PmThS2O.

Unit cell a=4.0065 b=4.0065 c=13.8538 alpha=90.00 beta=90.00 gamma=90.00
Last column: nearest neighbours and their distance in Å.
Sites, in units of the cell vectors:
Pm 0.2500 0.2500 0.0852  4 O 2.33
Pm 0.7500 0.7500 0.9148  4 O 2.33
Th 0.2500 0.2500 0.6135  5 S 2.63-2.83
Th 0.7500 0.7500 0.3865  5 S 2.63-2.83
S 0.2500 0.2500 0.3931  5 Th 2.83-3.05
S 0.2500 0.2500 0.8033  1 Th 2.63
S 0.7500 0.7500 0.1967  1 Th 2.63
S 0.7500 0.7500 0.6069  5 Th 2.83-3.05
O 0.2500 0.7500 0.0000  4 Pm 2.33
O 0.7500 0.2500 0.0000  4 Pm 2.33

## Properties
ΔE_f (raw) = -2.441 eV per atom
space group = No. 129
crystal system = tetragonal

No. 3
A plane-wave DFT calculation with PBE was carried out for a relaxed structure of PmTiS2O.

Unit cell a=3.7521 b=3.7521 c=12.9757 alpha=90.00 beta=90.00 gamma=90.00
Last column: nearest neighbours and their distance in Å.
Sites, in units of the cell vectors:
Pm 0.2500 0.2500 0.0990  4 O 2.27
Pm 0.7500 0.7500 0.9010  4 O 2.27
Ti 0.2500 0.2500 0.6012  2 S 2.30-2.51
Ti 0.7500 0.7500 0.3988  2 S 2.30-2.51
S 0.2500 0.2500 0.4074  5 Ti 2.51-2.66
S 0.2500 0.2500 0.7782  1 Ti 2.30
S 0.7500 0.7500 0.2218  1 Ti 2.30
S 0.7500 0.7500 0.5926  5 Ti 2.51-2.66
O 0.2500 0.7500 0.0000  4 Pm 2.27
O 0.7500 0.2500 0.0000  4 Pm 2.27

## Properties
ΔE_f (raw) = -2.076 eV per atom
space group = No. 129
crystal system = tetragonal

No. 4
A plane-wave DFT calculation with PBE was carried out for a relaxed structure of PmTiSO2.

Unit cell a=6.8219 b=4.0778 c=7.0323 alpha=90.00 beta=115.02 gamma=90.00
Last column: nearest neighbours and their distance in Å.
Sites, in units of the cell vectors:
Pm 0.2364 0.2500 0.0319  4 O 2.36-2.54
Pm 0.7636 0.7500 0.9681  4 O 2.36-2.54
Ti 0.3466 0.7500 0.4510  4 O 1.95-2.05
Ti 0.6534 0.2500 0.5490  4 O 1.95-2.05
S 0.2926 0.7500 0.7665  1 Ti 2.40
S 0.7074 0.2500 0.2335  1 Ti 2.40
O 0.1487 0.7500 0.1476  1 Ti 1.98
O 0.3382 0.2500 0.4240  3 Ti 1.95-2.05
O 0.6618 0.7500 0.5760  3 Ti 1.95-2.05
O 0.8513 0.2500 0.8524  1 Ti 1.98

## Properties
ΔE_f (raw) = -2.651 eV per atom
space group = No. 11
crystal system = monoclinic

Among the records above, which one has the highest ΔE_f (raw)?
PmTiS2O

ΔE_f (raw) of number 2 (PmThS2O)?
-2.441 eV per atom